Entry 1
Compound: HfBeAlNi
Source: the Open Quantum Materials Database
Functional: PBE
Structure: relaxed

Unit cell a=6.0479 b=6.0479 c=6.0479 alpha=90.00 beta=90.00 gamma=90.00
Last column: nearest neighbours and their distance in Å.
Space group F-43m (No. 216)
Unique sites:
1 Hf 0.0000 0.0000 0.0000 (multiplicity 4)  4 Be 2.62, 4 Al 2.62
2 Be 0.2500 0.2500 0.7500 (multiplicity 4)  4 Hf 2.62, 4 Ni 2.62
3 Al 0.2500 0.2500 0.2500 (multiplicity 4)  4 Hf 2.62, 4 Ni 2.62
4 Ni 0.0000 0.0000 0.5000 (multiplicity 4)  4 Be 2.62, 4 Al 2.62

Calculated values
- Total magnetization: 0.3 μB/f.u.
- ρ: 8.20 Mg/m³

Entry 2
Compound: HfBeAlNi
Source: the Open Quantum Materials Database
Functional: PBE
Structure: relaxed

Unit cell a=6.0310 b=6.0310 c=6.0310 alpha=90.00 beta=90.00 gamma=90.00
Last column: nearest neighbours and their distance in Å.
Space group F-43m (No. 216)
Unique sites:
1 Hf 0.0000 0.0000 0.0000 (multiplicity 4)  4 Ni 2.61, 4 Be 2.61
2 Be 0.2500 0.2500 0.2500 (multiplicity 4)  4 Hf 2.61, 4 Al 2.61
3 Al 0.0000 0.0000 0.5000 (multiplicity 4)  4 Be 2.61, 4 Ni 2.61
4 Ni 0.2500 0.2500 0.7500 (multiplicity 4)  4 Al 2.61, 4 Hf 2.61

Calculated values
- Total magnetization: 0.0 μB/f.u.
- ρ: 8.27 Mg/m³

Most stable structure, least stable structure: entry 2, entry 1.

Entry 1
Compound: BeAlInNi
Source: the Open Quantum Materials Database
Functional: PBE
Structure: relaxed

Unit cell a=6.0727 b=6.0727 c=6.0727 alpha=90.00 beta=90.00 gamma=90.00
Last column: nearest neighbours and their distance in Å.
Space group F-43m (No. 216)
Unique sites:
1 Be 0.0000 0.0000 0.0000 (multiplicity 4)  4 In 2.63, 4 Al 2.63
2 Al 0.2500 0.2500 0.2500 (multiplicity 4)  4 Ni 2.63, 4 Be 2.63
3 In 0.2500 0.2500 0.7500 (multiplicity 4)  4 Ni 2.63, 4 Be 2.63
4 Ni 0.0000 0.0000 0.5000 (multiplicity 4)  4 In 2.63, 4 Al 2.63

Calculated values
- Total magnetization: 0.0 μB/f.u.
- ρ: 6.21 Mg/m³

Entry 2
Compound: BeAlInNi
Source: the Open Quantum Materials Database
Functional: PBE
Structure: relaxed

Unit cell a=6.1429 b=6.1429 c=6.1429 alpha=90.00 beta=90.00 gamma=90.00
Last column: nearest neighbours and their distance in Å.
Space group F-43m (No. 216)
Unique sites:
1 Be 0.0000 0.0000 0.0000 (multiplicity 4)  4 Ni 2.66, 4 Al 2.66
2 Al 0.2500 0.2500 0.7500 (multiplicity 4)  4 Be 2.66, 4 In 2.66
3 In 0.0000 0.0000 0.5000 (multiplicity 4)  4 Ni 2.66, 4 Al 2.66
4 Ni 0.2500 0.2500 0.2500 (multiplicity 4)  4 In 2.66, 4 Be 2.66

Calculated values
- Total magnetization: 0.0 μB/f.u.
- ρ: 6.00 Mg/m³

Most stable structure, least stable structure: entry 1, entry 2.

Entry 1
Compound: BeAlIr2
Source: the Open Quantum Materials Database
Functional: PBE
Structure: relaxed

Unit cell a=3.9402 b=3.9402 c=8.2955 alpha=90.00 beta=90.00 gamma=120.00
Last column: nearest neighbours and their distance in Å.
Space group P6_3/mmc (No. 194)
Unique sites:
1 Be 0.0000 0.0000 0.0000 (multiplicity 2)  6 Ir 2.40
2 Al 0.3333 0.6667 0.2500 (multiplicity 2)  8 Ir 2.62-2.85
3 Ir 0.3333 0.6667 0.5938 (multiplicity 4)  3 Be 2.40, 1 Ir 2.59, 3 Al 2.62

Calculated values
- Total magnetization: 0.0 μB/f.u.
- ρ: 12.52 Mg/m³

Entry 2
Compound: BeAlIr2
Source: the Open Quantum Materials Database
Functional: PBE
Structure: relaxed

Unit cell a=5.8469 b=5.8469 c=5.8469 alpha=90.00 beta=90.00 gamma=90.00
Last column: nearest neighbours and their distance in Å.
Space group Fm-3m (No. 225)
Unique sites:
1 Be 0.0000 0.0000 0.0000 (multiplicity 4)  8 Ir 2.53
2 Al 0.0000 0.0000 0.5000 (multiplicity 4)  8 Ir 2.53
3 Ir 0.2500 0.2500 0.2500 (multiplicity 8)  4 Al 2.53, 4 Be 2.53

Calculated values
- Total magnetization: 0.0 μB/f.u.
- ρ: 13.97 Mg/m³

Most stable structure, least stable structure: entry 2, entry 1.

Entry 1
Compound: BeAlIr2
Source: the Open Quantum Materials Database
Functional: PBE
Structure: relaxed

Unit cell a=4.1349 b=12.4012 c=5.8446 alpha=90.00 beta=90.00 gamma=90.00
Last column: nearest neighbours and their distance in Å.
Space group Pnnm (No. 58)
Unique sites:
1 Be 0.0000 0.0000 0.0000 (multiplicity 2)  8 Ir 2.53
2 Be 0.0015 0.3333 0.0000 (multiplicity 4)  8 Ir 2.53
3 Al 0.0000 0.0000 0.5000 (multiplicity 2)  8 Ir 2.53
4 Al 0.0010 0.3333 0.5000 (multiplicity 4)  8 Ir 2.53
5 Ir 0.0000 0.5000 0.2498 (multiplicity 4)  4 Be 2.53, 4 Al 2.53
6 Ir 0.0007 0.1667 0.2499 (multiplicity 8)  4 Be 2.53, 4 Al 2.53

Calculated values
- Total magnetization: 0.0 μB/f.u.
- ρ: 13.98 Mg/m³

Entry 2
Compound: BeAlIr2
Source: the Open Quantum Materials Database
Functional: PBE
Structure: relaxed

Unit cell a=2.9141 b=2.9141 c=5.8387 alpha=90.00 beta=90.00 gamma=90.00
Last column: nearest neighbours and their distance in Å.
Space group P4/mmm (No. 123)
Unique sites:
1 Be 0.0000 0.0000 0.0000 (multiplicity 1)  8 Ir 2.48
2 Al 0.0000 0.0000 0.5000 (multiplicity 1)  8 Ir 2.58
3 Ir 0.5000 0.5000 0.2352 (multiplicity 2)  4 Be 2.48, 4 Al 2.58, 1 Ir 2.75

Calculated values
- Total magnetization: 0.0 μB/f.u.
- ρ: 14.08 Mg/m³

Most stable structure, least stable structure: entry 2, entry 1.